(1)
Here is an optimized crystal structure of Tm5TcSb2 from Alexandria. Energies are from PBE.

Calculated values
Energy relative to the elements, uncorrected (meV per atom): -174
Total energy (eV/atom): -5.29
M_tot (μB per atom): 0.00

Cell lengths 8.197, 8.197, 13.876 Å; angles 90.00, 90.00, 140.97 degrees
Fractional coordinates of all 16 atoms:
Tm 0.053 0.947 0.620
Tm 0.053 0.947 0.880
Tm 0.279 0.721 0.598
Tm 0.279 0.721 0.902
Tm 0.293 0.707 0.250
Tm 0.707 0.293 0.750
Tm 0.721 0.279 0.098
Tm 0.721 0.279 0.402
Tm 0.947 0.053 0.120
Tm 0.947 0.053 0.380
Tc 0.173 0.827 0.750
Tc 0.827 0.173 0.250
Sb 0.144 0.856 0.077
Sb 0.144 0.856 0.423
Sb 0.856 0.144 0.577
Sb 0.856 0.144 0.923

---

(2)
Here is an optimized crystal structure of Tm8TcSb2 from Alexandria. Energies are from PBE.

Calculated values
Energy relative to the elements, uncorrected (meV per atom): -367
Total energy (eV/atom): -5.31
M_tot (μB per atom): 0.00

Cell lengths 9.786, 9.786, 6.603 Å; angles 105.24, 105.24, 29.14 degrees
Fractional coordinates of all 11 atoms:
Tm 0.020 0.020 0.287
Tm 0.218 0.218 0.827
Tm 0.354 0.354 0.491
Tm 0.411 0.411 0.037
Tm 0.589 0.589 0.963
Tm 0.646 0.646 0.509
Tm 0.782 0.782 0.173
Tm 0.980 0.980 0.713
Tc 0.500 0.500 0.500
Sb 0.181 0.181 0.261
Sb 0.819 0.819 0.739

---

(3)
Here is an optimized crystal structure of Tm4TcSb from Alexandria. Energies are from PBE.

Calculated values
Energy relative to the elements, uncorrected (meV per atom): -472
Total energy (eV/atom): -5.87
M_tot (μB per atom): 0.00

Cell lengths 7.934, 7.934, 6.117 Å; angles 103.65, 103.65, 112.17 degrees
Fractional coordinates of all 12 atoms:
Tm 0.057 0.720 0.930
Tm 0.208 0.349 0.668
Tm 0.280 0.943 0.570
Tm 0.349 0.208 0.168
Tm 0.651 0.792 0.832
Tm 0.720 0.057 0.430
Tm 0.792 0.651 0.332
Tm 0.943 0.280 0.070
Tc 0.001 0.999 0.250
Tc 0.999 0.001 0.750
Sb 0.373 0.627 0.250
Sb 0.627 0.373 0.750

---

(4)
Here is an optimized crystal structure of Tm6TcSb3 from Alexandria. Energies are from PBE.

Calculated values
Energy relative to the elements, uncorrected (meV per atom): -390
Total energy (eV/atom): -5.35
M_tot (μB per atom): 0.00

Cell lengths 8.995, 8.995, 7.480 Å; angles 90.00, 90.00, 105.21 degrees
Fractional coordinates of all 20 atoms:
Tm 0.013 0.987 0.500
Tm 0.094 0.599 0.435
Tm 0.247 0.753 0.960
Tm 0.289 0.368 0.926
Tm 0.368 0.289 0.426
Tm 0.401 0.906 0.435
Tm 0.599 0.094 0.935
Tm 0.632 0.711 0.926
Tm 0.711 0.632 0.426
Tm 0.753 0.247 0.460
Tm 0.906 0.401 0.935
Tm 0.987 0.013 0.000
Tc 0.134 0.866 0.236
Tc 0.866 0.134 0.736
Sb 0.072 0.295 0.250
Sb 0.295 0.072 0.750
Sb 0.400 0.600 0.622
Sb 0.600 0.400 0.122
Sb 0.705 0.928 0.250
Sb 0.928 0.705 0.750

---

(5)
Here is an optimized crystal structure of Tm6Tc2Sb from Alexandria. Energies are from PBE.

Calculated values
Energy relative to the elements, uncorrected (meV per atom): -331
Total energy (eV/atom): -6.07
M_tot (μB per atom): 0.00

Cell lengths 8.428, 8.428, 8.428 Å; angles 112.54, 111.87, 104.13 degrees
Fractional coordinates of all 18 atoms:
Tm 0.035 0.245 0.790
Tm 0.185 0.280 0.464
Tm 0.185 0.720 0.905
Tm 0.335 0.019 0.685
Tm 0.335 0.650 0.315
Tm 0.456 0.245 0.210
Tm 0.544 0.755 0.790
Tm 0.665 0.350 0.685
Tm 0.665 0.981 0.315
Tm 0.815 0.280 0.095
Tm 0.815 0.720 0.536
Tm 0.965 0.755 0.210
Tc 0.118 0.618 0.500
Tc 0.328 0.000 0.328
Tc 0.672 0.000 0.672
Tc 0.882 0.382 0.500
Sb 0.000 0.000 0.000
Sb 0.500 0.500 0.000

---

(6)
Here is an optimized crystal structure of TmTcSb from Alexandria. Energies are from PBE.

Calculated values
Energy relative to the elements, uncorrected (meV per atom): -174
Total energy (eV/atom): -6.49
M_tot (μB per atom): 0.00

Cell lengths 3.327, 5.582, 7.561 Å; angles 94.41, 98.33, 96.17 degrees
Fractional coordinates of all 6 atoms:
Tm 0.009 0.299 0.294
Tm 0.991 0.701 0.706
Tc 0.434 0.817 0.409
Tc 0.566 0.183 0.591
Sb 0.210 0.240 0.886
Sb 0.790 0.760 0.114

---

(7)
Here is an optimized crystal structure of UTcSb from Alexandria. Energies are from PBE.

Calculated values
Energy relative to the elements, uncorrected (meV per atom): -56
Total energy (eV/atom): -8.65
M_tot (μB per atom): 0.34

Cell lengths 4.628, 4.628, 3.382 Å; angles 90.00, 90.00, 120.00 degrees
Fractional coordinates of all 3 atoms:
U 0.000 0.000 0.000
Tc 0.667 0.333 0.500
Sb 0.333 0.667 0.500

---

(8)
Here is an optimized crystal structure of UTcSb2 from Alexandria. Energies are from PBE.

Calculated values
Energy relative to the elements, uncorrected (meV per atom): 49
Total energy (eV/atom): -7.43
M_tot (μB per atom): 0.81

Cell lengths 3.300, 3.300, 7.769 Å; angles 90.00, 90.00, 90.00 degrees
Fractional coordinates of all 4 atoms:
U 0.000 0.000 0.000
Tc 0.000 0.000 0.500
Sb 0.500 0.500 0.292
Sb 0.500 0.500 0.708

---

(9)
Here is an optimized crystal structure of U2Tc4Sb from Alexandria. Energies are from PBE.

Calculated values
Energy relative to the elements, uncorrected (meV per atom): 287
Total energy (eV/atom): -9.45
M_tot (μB per atom): 0.00

Cell lengths 6.685, 5.707, 5.461 Å; angles 73.49, 54.94, 51.56 degrees
Fractional coordinates of all 7 atoms:
U 0.133 0.133 0.867
U 0.867 0.867 0.133
Tc 0.000 0.000 0.500
Tc 0.250 0.250 0.250
Tc 0.500 0.500 0.000
Tc 0.750 0.750 0.750
Sb 0.500 0.500 0.500

---

(10)
Here is an optimized crystal structure of UTcSb from Alexandria. Energies are from PBE.

Calculated values
Energy relative to the elements, uncorrected (meV per atom): -42
Total energy (eV/atom): -8.63
M_tot (μB per atom): 0.57

Cell lengths 4.708, 4.708, 6.281 Å; angles 90.00, 90.00, 90.00 degrees
Fractional coordinates of all 6 atoms:
U 0.000 0.500 0.000
U 0.500 0.000 0.500
Tc 0.000 0.000 0.250
Tc 0.000 0.000 0.750
Sb 0.000 0.500 0.500
Sb 0.500 0.000 0.000

---

(11)
Here is an optimized crystal structure of UTcSb from Alexandria. Energies are from PBE.

Calculated values
Energy relative to the elements, uncorrected (meV per atom): -1
Total energy (eV/atom): -8.59
M_tot (μB per atom): 0.41

Cell lengths 4.346, 8.029, 8.029 Å; angles 28.70, 90.00, 90.00 degrees
Fractional coordinates of all 6 atoms:
U 0.000 0.000 0.000
U 0.500 0.357 0.357
Tc 0.000 0.851 0.851
Tc 0.500 0.738 0.738
Sb 0.000 0.205 0.205
Sb 0.500 0.559 0.559

---

(12)
Here is an optimized crystal structure of U2TcSb from Alexandria. Energies are from PBE.

Calculated values
Energy relative to the elements, uncorrected (meV per atom): 113
Total energy (eV/atom): -9.15
M_tot (μB per atom): 0.53

Cell lengths 10.129, 10.129, 10.129 Å; angles 17.69, 17.69, 17.69 degrees
Fractional coordinates of all 4 atoms:
U 0.241 0.241 0.241
U 0.759 0.759 0.759
Tc 0.500 0.500 0.500
Sb 0.000 0.000 0.000

---

(13)
Here is an optimized crystal structure of U2TcSb from Alexandria. Energies are from PBE.

Calculated values
Energy relative to the elements, uncorrected (meV per atom): -80
Total energy (eV/atom): -9.35
M_tot (μB per atom): 0.17

Cell lengths 3.792, 3.792, 5.925 Å; angles 90.00, 90.00, 90.00 degrees
Fractional coordinates of all 4 atoms:
U 0.000 0.000 0.211
U 0.000 0.000 0.789
Tc 0.500 0.500 0.000
Sb 0.500 0.500 0.500

---

(14)
Here is an optimized crystal structure of U2TcSb from Alexandria. Energies are from PBE.

Calculated values
Energy relative to the elements, uncorrected (meV per atom): -2
Total energy (eV/atom): -9.27
M_tot (μB per atom): 0.00

Cell lengths 5.182, 5.182, 9.597 Å; angles 90.00, 90.00, 137.08 degrees
Fractional coordinates of all 8 atoms:
U 0.171 0.829 0.548
U 0.171 0.829 0.952
U 0.829 0.171 0.048
U 0.829 0.171 0.452
Tc 0.283 0.717 0.250
Tc 0.717 0.283 0.750
Sb 0.440 0.560 0.750
Sb 0.560 0.440 0.250

---

(15)
Here is an optimized crystal structure of U4Tc7Sb6 from Alexandria. Energies are from PBE.

Calculated values
Energy relative to the elements, uncorrected (meV per atom): -248
Total energy (eV/atom): -8.63
M_tot (μB per atom): 0.32

Cell lengths 7.566, 7.566, 7.566 Å; angles 109.47, 109.47, 109.47 degrees
Fractional coordinates of all 17 atoms:
U 0.000 0.000 0.500
U 0.000 0.500 0.000
U 0.500 0.000 0.000
U 0.500 0.500 0.500
Tc 0.000 0.000 0.000
Tc 0.250 0.500 0.750
Tc 0.250 0.750 0.500
Tc 0.500 0.250 0.750
Tc 0.500 0.750 0.250
Tc 0.750 0.250 0.500
Tc 0.750 0.500 0.250
Sb 0.000 0.308 0.308
Sb 0.000 0.692 0.692
Sb 0.308 0.000 0.308
Sb 0.308 0.308 0.000
Sb 0.692 0.000 0.692
Sb 0.692 0.692 0.000

---

(16)
Here is an optimized crystal structure of U2Tc3Sb2 from Alexandria. Energies are from PBE.

Calculated values
Energy relative to the elements, uncorrected (meV per atom): -147
Total energy (eV/atom): -8.99
M_tot (μB per atom): 0.00

Cell lengths 6.874, 6.874, 4.931 Å; angles 95.62, 95.62, 39.93 degrees
Fractional coordinates of all 7 atoms:
U 0.151 0.151 0.375
U 0.849 0.849 0.625
Tc 0.000 0.000 0.000
Tc 0.218 0.218 0.818
Tc 0.782 0.782 0.182
Sb 0.405 0.405 0.174
Sb 0.595 0.595 0.826

---

(17)
Here is an optimized crystal structure of UTcSb from Alexandria. Energies are from PBE.

Calculated values
Energy relative to the elements, uncorrected (meV per atom): 461
Total energy (eV/atom): -8.13
M_tot (μB per atom): 0.16

Cell lengths 7.310, 7.310, 7.310 Å; angles 154.85, 154.85, 35.86 degrees
Fractional coordinates of all 3 atoms:
U 0.000 0.000 0.000
Tc 0.838 0.838 0.000
Sb 0.222 0.222 0.000

---

(18)
Here is an optimized crystal structure of U4TcSb from Alexandria. Energies are from PBE.

Calculated values
Energy relative to the elements, uncorrected (meV per atom): 14
Total energy (eV/atom): -9.93
M_tot (μB per atom): 0.00

Cell lengths 5.455, 5.595, 8.971 Å; angles 94.94, 95.85, 114.47 degrees
Fractional coordinates of all 12 atoms:
U 0.026 0.492 0.337
U 0.184 0.177 0.178
U 0.236 0.246 0.787
U 0.459 0.930 0.652
U 0.541 0.070 0.348
U 0.764 0.754 0.213
U 0.816 0.823 0.822
U 0.974 0.508 0.663
Tc 0.000 0.000 0.500
Tc 0.500 0.500 0.500
Sb 0.273 0.727 0.006
Sb 0.727 0.273 0.994

---

(19)
Here is an optimized crystal structure of UTcSb from Alexandria. Energies are from PBE.

Calculated values
Energy relative to the elements, uncorrected (meV per atom): 37
Total energy (eV/atom): -8.56
M_tot (μB per atom): 0.66

Cell lengths 4.623, 4.623, 4.623 Å; angles 60.00, 60.00, 60.00 degrees
Fractional coordinates of all 3 atoms:
U 0.000 0.000 0.000
Tc 0.750 0.750 0.750
Sb 0.500 0.500 0.500

---

(20)
Here is an optimized crystal structure of UTcSb2 from Alexandria. Energies are from PBE.

Calculated values
Energy relative to the elements, uncorrected (meV per atom): 94
Total energy (eV/atom): -7.38
M_tot (μB per atom): 0.34

Cell lengths 4.437, 4.437, 4.304 Å; angles 90.00, 90.00, 90.00 degrees
Fractional coordinates of all 4 atoms:
U 0.000 0.000 0.000
Tc 0.500 0.500 0.000
Sb 0.000 0.500 0.500
Sb 0.500 0.000 0.500